(1)
First-principles (GGA-PBE) data for crystalline BaMnCr2 at its relaxed geometry, as listed in Alexandria via LeMat-Bulk.

```
BaMnCr2
1.0
4.429 0.000 0.000
0.000 4.691 0.000
0.000 0.000 4.691
Ba Cr Mn
1 2 1
direct
0.500 0.000 0.500 Ba
0.000 0.000 0.000 Cr
0.000 0.500 0.500 Cr
0.500 0.500 0.000 Mn
```

Computed properties:
Excess energy over the best structure of this formula in the dataset, eV/atom: 0.681
Symmetry: P4/mmm, No. 123
Electronic total energy, eV for the cell shown: -25.16
Size of the total moment, μB/f.u.: 12.61
Energy of formation, eV/atom: 1.29


(2)
First-principles (GGA-PBE) data for crystalline Cs2PbS3 at its relaxed geometry, as listed in Alexandria via LeMat-Bulk.

```
Cs2PbS3
1.0
7.490 0.132 0.094
1.027 7.995 0.141
1.027 2.745 7.510
Cs Pb S
4 2 6
direct
0.690 0.183 0.498 Cs
0.190 0.498 0.183 Cs
0.810 0.502 0.817 Cs
0.310 0.817 0.502 Cs
0.750 0.917 0.083 Pb
0.250 0.083 0.917 Pb
0.250 0.356 0.644 S
0.750 0.644 0.356 S
0.987 0.909 0.827 S
0.513 0.173 0.091 S
0.487 0.827 0.909 S
0.013 0.091 0.173 S
```

Computed properties:
Symmetry: C2/c, No. 15
Electronic total energy, eV for the cell shown: -44.39
Size of the total moment, μB/f.u.: 0.00